one | # Hf3HgH

A relaxed Hf3HgH crystal (PBE, the Alexandria database).

Calculated values
Symmetry: P1 (1)

Cell lengths 5.4641, 5.9355, 6.3869 Å; angles 74.06, 86.26, 64.04 degrees
Positions (direct):
Hf  0.0000  0.0000  0.0000
Hf  0.0207  0.0096  0.4985
Hf  0.3841  0.4930  0.8344
Hf  0.4101  0.5188  0.3404
Hf  0.5251  0.9556  0.7680
Hf  0.8963  0.5286  0.5874
Hg  0.5108  0.0158  0.2454
Hg  0.9220  0.4872  0.1150
H  0.3087  0.3376  0.6209
H  0.3755  0.7266  0.0148

---

two | # Hf3HgH

A relaxed Hf3HgH crystal (PBE, the Alexandria database).

Calculated values
Symmetry: Fd-3m (227)

Cell lengths 8.2984, 8.2984, 8.2984 Å; angles 60.00, 60.00, 60.00 degrees
Positions (direct):
Hf  0.0669  0.0669  0.6831
Hf  0.0669  0.6831  0.0669
Hf  0.0669  0.6831  0.6831
Hf  0.3169  0.3169  0.9331
Hf  0.3169  0.9331  0.3169
Hf  0.3169  0.9331  0.9331
Hf  0.6831  0.0669  0.0669
Hf  0.6831  0.0669  0.6831
Hf  0.6831  0.6831  0.0669
Hf  0.9331  0.3169  0.3169
Hf  0.9331  0.3169  0.9331
Hf  0.9331  0.9331  0.3169
Hg  0.0000  0.5000  0.5000
Hg  0.5000  0.0000  0.5000
Hg  0.5000  0.5000  0.0000
Hg  0.5000  0.5000  0.5000
H  0.0000  0.0000  0.0000
H  0.0000  0.0000  0.5000
H  0.0000  0.5000  0.0000
H  0.5000  0.0000  0.0000

---

Here is how they stack up, most stable first: one, two.